VASP calculation (GGA-PBE) on a geometry-optimized LiPuSb2 structure.

Computed properties:
total DFT energy (no corrections): -6.695 eV per atom
offset from the most stable computed form: 0.00 eV/f.u.
total magnetization: 4.84 μB per formula unit
DOS at the Fermi energy: 24.5 states/eV/cell
formation energy without anion corrections: -0.573 eV per atom
crystal system: tetragonal
V: 195.76 Å³/cell
space-group type: P4/nmm (129)

Cell: 4.320 4.320 10.490 Å, 90.00 90.00 90.00°
Sites, in units of the cell vectors:
Li 0.250 0.750 0.000
Li 0.750 0.250 0.000
Pu 0.250 0.250 0.266
Pu 0.750 0.750 0.734
Sb 0.250 0.250 0.828
Sb 0.250 0.750 0.500
Sb 0.750 0.250 0.500
Sb 0.750 0.750 0.172